1.
This record from Alexandria via LeMat-Bulk describes a relaxed structure of Mg16Al12Ga. The functional is GGA-PBE.

abc: 9.0863 9.0863 9.0863
angles: 109.34 109.34 109.34
Sites, in units of the cell vectors:
1 Mg 0.0000 0.0000 0.0000
2 Mg 0.0007 0.0007 0.6545
3 Mg 0.0007 0.6545 0.0007
4 Mg 0.0015 0.4023 0.6822
5 Mg 0.0015 0.6822 0.4023
6 Mg 0.2923 0.5920 0.5920
7 Mg 0.3151 0.3151 0.7143
8 Mg 0.3151 0.7143 0.3151
9 Mg 0.4023 0.0015 0.6822
10 Mg 0.4023 0.6822 0.0015
11 Mg 0.5920 0.2923 0.5920
12 Mg 0.5920 0.5920 0.2923
13 Mg 0.6545 0.0007 0.0007
14 Mg 0.6822 0.0015 0.4023
15 Mg 0.6822 0.4023 0.0015
16 Mg 0.7143 0.3151 0.3151
17 Al 0.1831 0.3661 0.9974
18 Al 0.1831 0.9974 0.3661
19 Al 0.1885 0.8132 0.8132
20 Al 0.3661 0.1831 0.9974
21 Al 0.3661 0.9974 0.1831
22 Al 0.6403 0.6403 0.8276
23 Al 0.6403 0.8276 0.6403
24 Al 0.8132 0.1885 0.8132
25 Al 0.8132 0.8132 0.1885
26 Al 0.8276 0.6403 0.6403
27 Al 0.9974 0.1831 0.3661
28 Al 0.9974 0.3661 0.1831
29 Ga 0.3188 0.3188 0.3188

## Properties
ΔE_f ... -32 meV/atom
Energy above the most stable polymorph in this dataset ... 0.0029 eV/atom



2.
This record from Alexandria via LeMat-Bulk describes a relaxed structure of LiPSe2. The functional is GGA-PBE.

abc: 4.7114 4.7114 4.7114
angles: 60.00 60.00 60.00
Sites, in units of the cell vectors:
1 Li 0.0000 0.0000 0.0000
2 P 0.7500 0.7500 0.7500
3 Se 0.2500 0.2500 0.2500
4 Se 0.5000 0.5000 0.5000

## Properties
Energy relative to the elements, uncorrected ... 0.310 eV/atom



3.
This record from Alexandria via LeMat-Bulk describes a relaxed structure of CdCu2Ru. The functional is GGA-PBE.

abc: 2.6901 2.6901 9.0414
angles: 90.00 90.00 114.92
Sites, in units of the cell vectors:
1 Cd 0.0000 0.0000 0.0000
2 Cu 0.5000 0.5000 0.2628
3 Cu 0.5000 0.5000 0.7372
4 Ru 0.0000 0.0000 0.5000

## Properties
ΔE_f ... 328 meV/atom



4.
This record from Alexandria via LeMat-Bulk describes a relaxed structure of Pr4Nd5Y3. The functional is GGA-PBE.

abc: 8.8069 8.8069 9.5765
angles: 114.94 114.94 40.19
Sites, in units of the cell vectors:
1 Pr 0.0839 0.0839 0.4446
2 Pr 0.2188 0.2188 0.8792
3 Pr 0.7812 0.7812 0.1208
4 Pr 0.9161 0.9161 0.5554
5 Nd 0.0000 0.0000 0.0000
6 Nd 0.3286 0.3286 0.6108
7 Nd 0.4268 0.4268 0.2987
8 Nd 0.5732 0.5732 0.7013
9 Nd 0.6714 0.6714 0.3892
10 Y 0.2087 0.2087 0.2279
11 Y 0.5000 0.5000 0.0000
12 Y 0.7913 0.7913 0.7721

## Properties
ΔE_f ... 207 meV/atom